Version w
# Tb2PmDy5

A relaxed Tb2PmDy5 crystal (PBE, Alexandria via LeMat-Bulk). Values from VASP.

Results
size of the total moment: 0.00 μB/cell
SG: No. 2

Structure (Quantum ESPRESSO input):
```
&SYSTEM
  ibrav = 0, nat = 16, ntyp = 3
/
ATOMIC_SPECIES
Pm 145.00 Pm.upf
Dy 162.50 Dy.upf
Tb 158.93 Tb.upf
CELL_PARAMETERS angstrom
-1.2151 5.2466 -3.8205
-6.1277 -1.0374 6.2375
6.1609 0.9878 9.1964
ATOMIC_POSITIONS crystal
Pm 0.7912 0.5814 0.7502
Pm 0.2088 0.4186 0.2498
Dy 0.8938 0.0162 0.3429
Tb 0.2015 0.3737 0.9254
Tb 0.1710 0.3729 0.5743
Dy 0.3721 0.7969 0.0527
Dy 0.1062 0.9838 0.6571
Tb 0.8290 0.6271 0.4257
Dy 0.8800 0.9851 0.8425
Dy 0.6402 0.2828 0.2491
Dy 0.3598 0.7172 0.7509
Dy 0.4262 0.7967 0.4485
Dy 0.1200 0.0149 0.1575
Dy 0.6279 0.2031 0.9473
Tb 0.7985 0.6263 0.0746
Dy 0.5738 0.2033 0.5515
```

Version x
# Tb2PmDy5

A relaxed Tb2PmDy5 crystal (PBE, Alexandria via LeMat-Bulk). Values from VASP.

Results
size of the total moment: 0.00 μB/cell
SG: No. 55

Structure (Quantum ESPRESSO input):
```
&SYSTEM
  ibrav = 0, nat = 16, ntyp = 3
/
ATOMIC_SPECIES
Tb 158.93 Tb.upf
Dy 162.50 Dy.upf
Pm 145.00 Pm.upf
CELL_PARAMETERS angstrom
5.0234 0.0000 0.0000
0.0000 7.1264 0.0000
0.0000 0.0000 14.2549
ATOMIC_POSITIONS crystal
Tb 0.5000 0.7504 0.8745
Dy 0.5000 0.7505 0.1256
Dy 0.0000 0.0001 0.2493
Dy 0.0000 0.4999 0.7493
Dy 0.0000 0.9999 0.7507
Dy 0.0000 0.5001 0.2507
Dy 0.5000 0.7495 0.6256
Pm 0.0000 0.0000 0.5000
Tb 0.5000 0.7496 0.3745
Dy 0.0000 0.0000 0.0000
Dy 0.5000 0.2505 0.3744
Dy 0.0000 0.5000 0.5000
Tb 0.5000 0.2504 0.6255
Pm 0.0000 0.5000 0.0000
Dy 0.5000 0.2495 0.8744
Tb 0.5000 0.2496 0.1255
```

Winner for stability: version x

Version w
# Tb4Pm6Dy

A relaxed Tb4Pm6Dy crystal (PBE, Alexandria via LeMat-Bulk). Values from VASP.

Results
size of the total moment: 0.00 μB/cell
SG: No. 121

Structure (Quantum ESPRESSO input):
```
&SYSTEM
  ibrav = 0, nat = 11, ntyp = 3
/
ATOMIC_SPECIES
Tb 158.93 Tb.upf
Pm 145.00 Pm.upf
Dy 162.50 Dy.upf
CELL_PARAMETERS angstrom
-8.8930 -1.2273 -4.1590
9.5674 -1.9859 -1.5530
5.9543 -4.0535 6.7827
ATOMIC_POSITIONS crystal
Tb 0.0000 0.0113 0.6389
Pm 0.0000 0.4551 0.8126
Tb 0.6276 0.9887 0.9887
Dy 0.0000 0.0000 0.0000
Tb 0.0000 0.6389 0.0113
Tb 0.3724 0.3611 0.3611
Pm 0.6426 0.1874 0.1874
Pm 0.5000 0.5000 0.0000
Pm 0.3574 0.5449 0.5449
Pm 0.0000 0.8126 0.4551
Pm 0.5000 0.0000 0.5000
```

Version x
# Tb4Pm6Dy

A relaxed Tb4Pm6Dy crystal (PBE, Alexandria via LeMat-Bulk). Values from VASP.

Results
size of the total moment: 0.00 μB/cell
SG: No. 121

Structure (Quantum ESPRESSO input):
```
&SYSTEM
  ibrav = 0, nat = 11, ntyp = 3
/
ATOMIC_SPECIES
Pm 145.00 Pm.upf
Tb 158.93 Tb.upf
Dy 162.50 Dy.upf
CELL_PARAMETERS angstrom
-2.8538 -4.2412 5.5396
-5.4864 -2.3331 -4.6126
8.0611 -1.9295 -2.4529
ATOMIC_POSITIONS crystal
Pm 0.4608 0.9144 0.3752
Pm 0.0856 0.0856 0.6248
Tb 0.0863 0.7530 0.8393
Tb 0.7530 0.0863 0.8393
Pm 0.5000 0.0000 0.0000
Pm 0.9144 0.4608 0.3752
Dy 0.5000 0.5000 0.0000
Tb 0.2470 0.2470 0.1607
Pm 0.5392 0.5392 0.6248
Pm 0.0000 0.5000 0.0000
Tb 0.9137 0.9137 0.1607
```

Winner for stability: version w